A geometry-optimized Y2ZnCr structure, computed with PBE.

POSCAR file:
```
Y2ZnCr
1.0
3.440 0.000 0.000
0.000 3.440 0.000
0.000 0.000 7.887
Y Zn Cr
2 1 1
direct
0.000 0.000 0.000
0.500 0.500 0.352
0.000 0.000 0.600
0.500 0.500 0.747
```

DOS at the Fermi energy (states/eV/f.u.): 4.43
Energy above the lowest structure with this stoichiometry (meV/atom): 129
Spin magnetization (μB/cell): 3.0
SG: P4mm (99)